(1)
The following is a DFT calculation (GGA-PBE) of a geometry-optimized Hg4BiPb10 structure.

uncorrected energy	-2.729	eV/atom
space-group type	I4/m
theoretical density	10.20	g cm⁻³

abc: 7.3776 9.0368 9.0367
angles: 80.41 65.91 65.91
Fractional coordinates of all 15 atoms:
Hg  0.4029  0.7950  0.3991
Hg  0.8021  0.6009  0.7950
Hg  0.1979  0.3991  0.2050
Hg  0.5971  0.2050  0.6009
Bi  0.0000  0.0000  0.0000
Pb  0.2500  0.5000  0.5000
Pb  0.6389  0.3104  0.8967
Pb  0.0507  0.1033  0.3104
Pb  0.4645  0.8967  0.6896
Pb  0.8459  0.6896  0.1033
Pb  0.3611  0.6896  0.1033
Pb  0.7500  0.5000  0.5000
Pb  0.1541  0.3104  0.8967
Pb  0.5355  0.1033  0.3104
Pb  0.9493  0.8967  0.6896

(2)
The following is a DFT calculation (GGA-PBE) of a geometry-optimized Na3GaTe2 structure.

uncorrected energy	-2.787	eV/atom
space-group type	Ibam
theoretical density	3.14	g cm⁻³

abc: 7.7030 7.0833 9.2630
angles: 112.48 114.57 90.00
Fractional coordinates of all 12 atoms:
Na  0.5000  0.2500  0.0000
Na  0.5000  0.7500  0.0000
Na  0.7651  0.0151  0.5302
Na  0.2349  0.4849  0.4698
Na  0.2349  0.9849  0.4698
Na  0.7651  0.5151  0.5302
Ga  0.0000  0.5000  0.0000
Ga  0.0000  0.0000  0.0000
Te  0.5820  0.3645  0.7290
Te  0.8530  0.1355  0.2710
Te  0.1470  0.8645  0.7290
Te  0.4180  0.6355  0.2710

(3)
The following is a DFT calculation (GGA-PBE) of a geometry-optimized RbScRe2Cl structure.

uncorrected energy	-5.297	eV/atom
space-group type	P4/mmm
theoretical density	8.62	g cm⁻³

abc: 4.5656 4.9726 4.5656
angles: 90.00 90.00 90.00
Fractional coordinates of all 5 atoms:
Sc  0.0000  0.5000  0.0000
Re  0.0000  0.0000  0.5000
Re  0.5000  0.0000  0.0000
Rb  0.5000  0.5000  0.5000
Cl  0.0000  0.0000  0.0000

(4)
The following is a DFT calculation (GGA-PBE) of a geometry-optimized BaH2S structure.

uncorrected energy	-4.141	eV/atom
space-group type	P2_1/m
theoretical density	3.38	g cm⁻³

abc: 5.5288 5.5483 6.3251
angles: 90.00 90.00 119.85
Fractional coordinates of all 8 atoms:
Ba  0.1664  0.8332  0.2500
Ba  0.8336  0.1668  0.7500
H  0.5011  0.5041  0.3093
H  0.5011  0.5041  0.1907
H  0.4989  0.4959  0.6907
H  0.4989  0.4959  0.8093
S  0.8336  0.1682  0.2500
S  0.1664  0.8318  0.7500

(5)
The following is a DFT calculation (GGA-PBE) of a geometry-optimized YMoPt structure.

uncorrected energy	-7.061	eV/atom
space-group type	F-43m
theoretical density	9.07	g cm⁻³

abc: 4.6171 4.6171 4.6171
angles: 60.00 60.00 60.00
Fractional coordinates of all 3 atoms:
Mo  0.0000  0.0000  0.0000
Pt  0.5000  0.5000  0.5000
Y  0.7500  0.7500  0.7500

(6)
The following is a DFT calculation (GGA-PBE) of a geometry-optimized BiMoP2Cl structure.

uncorrected energy	-5.166	eV/atom
space-group type	P4/mmm
theoretical density	6.02	g cm⁻³

abc: 4.7121 4.7121 4.9998
angles: 90.00 90.00 90.00
Fractional coordinates of all 5 atoms:
P  0.0000  0.5000  0.0000
P  0.5000  0.0000  0.0000
Mo  0.0000  0.0000  0.0000
Bi  0.5000  0.5000  0.5000
Cl  0.0000  0.0000  0.5000

(7)
The following is a DFT calculation (GGA-PBE) of a geometry-optimized ErTm2Pb structure.

uncorrected energy	-4.548	eV/atom
space-group type	P4/mmm
theoretical density	10.63	g cm⁻³

abc: 4.8019 4.8134 4.8134
angles: 90.00 90.00 90.00
Fractional coordinates of all 4 atoms:
Pb  0.5000  0.0000  0.0000
Tm  0.0000  0.0000  0.5000
Tm  0.0000  0.5000  0.0000
Er  0.5000  0.5000  0.5000

(8)
The following is a DFT calculation (GGA-PBE) of a geometry-optimized Pr8GaRh3Br4 structure.

uncorrected energy	-5.360	eV/atom
space-group type	C2/m
theoretical density	6.30	g cm⁻³

abc: 8.4569 9.1817 8.4542
angles: 117.45 120.01 90.00
Fractional coordinates of all 16 atoms:
Pr  0.2394  0.6985  0.9598
Pr  0.2392  0.6985  0.4784
Pr  0.2656  0.2976  0.5312
Pr  0.7205  0.6985  0.9598
Pr  0.2795  0.3015  0.0402
Pr  0.7344  0.7024  0.4688
Pr  0.7608  0.3015  0.5216
Pr  0.7606  0.3015  0.0402
Ga  0.0000  0.5000  0.0000
Rh  0.5000  0.5000  0.0000
Rh  0.5000  0.5000  0.5000
Rh  0.0000  0.5000  0.5000
Br  0.5000  0.0000  0.0000
Br  0.5000  0.0000  0.5000
Br  0.0000  0.0000  0.0000
Br  0.0000  0.0000  0.5000

Question: uncorrected energy of number 8 (Pr8GaRh3Br4)?
Answer: -5.360 eV/atom